Li2AgSb (PBE, relaxed); E_form (uncorrected) = -0.42 eV/atom; E_tot = -3.124 eV per atom
1.0
4.7785 0.0000 0.0000
0.0000 5.0124 0.0000
0.0000 0.0000 6.0619
Li Ag Sb
4 2 2
Direct
0.5000 0.1892 0.2477
0.5000 0.1892 0.7523
0.0000 0.8108 0.7477
0.0000 0.8108 0.2523
0.5000 0.6683 0.5000
0.0000 0.3317 0.0000
0.0000 0.3002 0.5000
0.5000 0.6998 0.0000

***

Zr2Sn2Ir (PBE, relaxed); E_tot = -7.201 eV per atom; calculated formation energy = -0.409 eV per atom
1.0
-0.0095 2.3158 -6.4725
-2.6994 -5.9538 -2.1262
-4.1398 1.6624 0.6008
Ir Sn Zr
2 4 4
Direct
0.0000 0.0000 0.0000
0.5000 0.5000 0.0000
0.3548 0.8548 0.0000
0.8548 0.6452 0.0000
0.6452 0.1452 0.0000
0.1452 0.3548 0.0000
0.1631 0.6631 0.5000
0.6631 0.8369 0.5000
0.8369 0.3369 0.5000
0.3369 0.1631 0.5000

***

LaPaTaN4 (PBE, relaxed); E_form (uncorrected) = -1.31 eV/atom; E_tot = -9.823 eV per atom
1.0
5.7054 0.0000 0.0000
0.0000 5.7311 0.0000
-2.8527 0.0000 6.2367
La Pa Ta N
2 2 2 8
Direct
0.6045 0.7500 0.2090
0.3955 0.2500 0.7910
0.1084 0.2500 0.2167
0.8916 0.7500 0.7833
0.2597 0.7500 0.5193
0.7403 0.2500 0.4807
0.9395 0.2500 0.8790
0.4186 0.7500 0.8372
0.0605 0.7500 0.1210
0.5814 0.2500 0.1628
0.5000 0.5000 0.5000
0.0000 0.0000 0.5000
0.5000 0.0000 0.5000
0.0000 0.5000 0.5000

***

ScPCl (PBE, relaxed); E_form (uncorrected) = -0.77 eV/atom; E_tot = -5.295 eV per atom
1.0
4.4374 0.0000 0.0000
-2.2187 3.8429 0.0000
0.0000 0.0000 3.2312
Cl P Sc
1 1 1
Direct
0.0000 0.0000 0.8334
0.6667 0.3333 0.3333
0.3333 0.6667 0.8333

***

CdCuAg (PBE, relaxed); E_tot = -2.540 eV per atom; calculated formation energy = 0.081 eV per atom
1.0
4.5423 0.0000 0.0000
-2.2711 3.9337 0.0000
0.0000 0.0000 2.8725
Ag Cd Cu
1 1 1
Direct
0.0000 0.0000 0.9353
0.3333 0.6667 0.3655
0.6667 0.3333 0.6991

***

In2RuPt (PBE, relaxed); E_tot = -5.412 eV per atom; calculated formation energy = -0.213 eV per atom
1.0
-2.4910 -1.5103 -2.0009
3.0092 -2.8414 -1.6016
-0.9242 -2.8326 3.2887
Ru Pt In
1 1 2
Direct
0.5000 0.0000 0.0000
0.5000 0.5000 0.5000
0.0000 0.0000 0.5000
0.0000 0.5000 0.0000